1.
Material: Nb2AsP
Method: DFT, GGA-PBE
State: relaxed

Unit cell a=3.560 b=3.560 c=6.627 alpha=74.42 beta=74.42 gamma=60.00
Fractional coordinates of all 4 atoms:
1 Nb 0.075 0.075 0.775
2 Nb 0.259 0.259 0.223
3 As 0.500 0.500 0.500
4 P 0.666 0.666 0.002

Computed properties:
- energy (eV/atom) = -8.198
- formation energy from the elements (meV/atom) = -648
- mass density (g cm⁻³) = 7.005


2.
Material: AlZnOs2
Method: DFT, GGA-PBE
State: relaxed

Unit cell a=4.632 b=4.632 c=4.632 alpha=130.07 beta=130.07 gamma=73.29
Fractional coordinates of all 4 atoms:
1 Zn 0.500 0.500 0.000
2 Os 0.000 0.000 0.000
3 Os 0.250 0.750 0.500
4 Al 0.750 0.250 0.500

Computed properties:
- energy (eV/atom) = -6.756
- formation energy from the elements (meV/atom) = 113
- mass density (g cm⁻³) = 13.816


3.
Material: NbHgCl4
Method: DFT, GGA-PBE
State: relaxed

Unit cell a=5.819 b=12.164 c=7.838 alpha=128.31 beta=92.18 gamma=115.07
Fractional coordinates of all 12 atoms:
1 Nb 0.250 0.000 0.000
2 Nb 0.750 0.000 0.000
3 Hg 0.250 0.500 0.000
4 Hg 0.750 0.500 0.000
5 Cl 0.083 0.103 0.852
6 Cl 0.761 0.751 0.651
7 Cl 0.271 0.750 0.855
8 Cl 0.392 0.898 0.650
9 Cl 0.608 0.102 0.350
10 Cl 0.729 0.250 0.145
11 Cl 0.239 0.249 0.349
12 Cl 0.917 0.897 0.148

Computed properties:
- energy (eV/atom) = -3.948
- mass density (g cm⁻³) = 4.047
- raw formation energy (meV/atom) = -988


4.
Material: Ho4Er3Te8
Method: DFT, GGA-PBE
State: relaxed

Unit cell a=8.620 b=8.622 c=8.622 alpha=89.99 beta=120.00 gamma=120.00
Fractional coordinates of all 15 atoms:
1 Ho 0.500 0.000 0.000
2 Ho 0.000 0.500 0.000
3 Ho 0.000 0.000 0.000
4 Ho 0.000 0.000 0.500
5 Er 0.500 0.500 0.000
6 Er 0.500 0.000 0.500
7 Er 0.500 0.500 0.500
8 Te 0.512 0.256 0.256
9 Te 0.000 0.744 0.256
10 Te 0.001 0.256 0.256
11 Te 0.500 0.750 0.250
12 Te 0.500 0.250 0.750
13 Te 0.999 0.744 0.744
14 Te 0.000 0.256 0.744
15 Te 0.488 0.744 0.744

Computed properties:
- energy (eV/atom) = -5.133
- mass density (g cm⁻³) = 7.998
- raw formation energy (meV/atom) = -1324


5.
Material: Ac3La4In4
Method: DFT, GGA-PBE
State: relaxed

Unit cell a=5.181 b=8.674 c=10.239 alpha=115.06 beta=104.66 gamma=90.00
Fractional coordinates of all 11 atoms:
1 Ac 0.115 0.115 0.231
2 Ac 0.885 0.885 0.769
3 Ac 0.000 0.500 0.000
4 La 0.332 0.141 0.664
5 La 0.668 0.477 0.336
6 La 0.668 0.859 0.336
7 La 0.332 0.523 0.664
8 In 0.224 0.724 0.449
9 In 0.776 0.276 0.551
10 In 0.500 0.824 0.000
11 In 0.500 0.176 0.000

Computed properties:
- energy (eV/atom) = -4.189
- formation energy from the elements (meV/atom) = -281
- mass density (g cm⁻³) = 7.036


6.
Material: SrAc3La2Te6
Method: DFT, GGA-PBE
State: relaxed

Unit cell a=4.661 b=9.400 c=10.460 alpha=102.89 beta=102.87 gamma=90.00
Fractional coordinates of all 12 atoms:
1 Sr 0.500 0.000 0.000
2 Ac 0.500 0.500 0.000
3 Ac 0.833 0.170 0.667
4 Ac 0.167 0.830 0.333
5 La 0.830 0.661 0.660
6 La 0.170 0.339 0.340
7 Te 0.335 0.912 0.670
8 Te 0.667 0.578 0.334
9 Te 0.665 0.088 0.330
10 Te 0.003 0.247 0.007
11 Te 0.997 0.753 0.993
12 Te 0.333 0.422 0.666

Computed properties:
- energy (eV/atom) = -5.119
- mass density (g cm⁻³) = 6.918
- raw formation energy (meV/atom) = -1559